VASP calculation (PBE) on a relaxed BaSc2CF crystal.

Summary:
Space group: No. 123
D(E_F) in states/eV/atom: 0.45
Formation energy from raw total energies in meV per atom: -710.4
Volume in A^3/atom: 26.35

a b c (Å): 4.330 7.026 4.330
angles (deg): 90.00 90.00 90.00
Site moments in Bohr magnetons follow the coordinates.
Sites, in units of the cell vectors:
F 0.500 0.500 0.500  0.03
C 0.000 0.000 0.000  -0.03
Sc 0.500 0.000 0.000  0.16
Sc 0.000 0.000 0.500  0.24
Ba 0.000 0.500 0.000  0.06

***

VASP calculation (PBE) on a relaxed InRhN2 crystal.

Summary:
Space group: No. 166
D(E_F) in states/eV/atom: 0.40
Formation energy from raw total energies in meV per atom: 774.5
Volume in A^3/atom: 14.54

a b c (Å): 6.486 6.486 6.486
angles (deg): 29.39 29.39 29.39
Sites, in units of the cell vectors:
N 0.900 0.900 0.900
N 0.100 0.100 0.100
Rh 0.000 0.000 0.000
In 0.500 0.500 0.500

***

VASP calculation (PBE) on a relaxed Ti7Sb2H2Se crystal.

Summary:
Total DFT energy (no corrections) in eV for the cell shown: -79.5
Space group: No. 139
D(E_F) in states/eV/atom: 0.53
Volume in A^3/atom: 14.93

a b c (Å): 4.005 4.005 11.521
angles (deg): 79.97 79.97 89.99
Sites, in units of the cell vectors:
Ti 0.305 0.305 0.389
Ti 0.089 0.590 0.821
Ti 0.590 0.089 0.821
Ti 0.410 0.911 0.179
Ti 0.911 0.410 0.179
Ti 0.500 0.500 0.000
Ti 0.695 0.695 0.611
Se 0.000 0.000 0.000
Sb 0.181 0.181 0.639
Sb 0.819 0.819 0.361
H 0.591 0.591 0.819
H 0.409 0.409 0.181

***

VASP calculation (PBE) on a relaxed CeNdDyY crystal.

Summary:
Space group: No. 216
D(E_F) in states/eV/atom: 2.63
Formation energy in meV per atom: 167
Volume in A^3/atom: 32.93

a b c (Å): 5.711 5.711 5.711
angles (deg): 60.00 60.00 60.00
Site moments in Bohr magnetons follow the coordinates.
Sites, in units of the cell vectors:
Nd 0.000 0.000 0.000  0.01
Ce 0.500 0.500 0.500  0.68
Dy 0.250 0.250 0.250  0.03
Y 0.750 0.750 0.750  0.02

***

VASP calculation (PBE) on a relaxed Pr6NdTm crystal.

Summary:
Space group: No. 123
D(E_F) in states/eV/atom: 1.74
Formation energy in meV per atom: 15
Volume in A^3/atom: 35.26

a b c (Å): 5.206 5.206 10.410
angles (deg): 90.00 90.00 90.00
Sites, in units of the cell vectors:
Pr 0.500 0.000 0.253
Pr 0.500 0.500 0.500
Pr 0.500 0.500 0.000
Pr 0.000 0.500 0.253
Pr 0.000 0.500 0.747
Pr 0.500 0.000 0.747
Tm 0.000 0.000 0.500
Nd 0.000 0.000 0.000

***

VASP calculation (PBE) on a relaxed ReP2Br crystal.

Summary:
Space group: No. 8
Offset from the most stable computed form in meV per atom: 0
D(E_F) in states/eV/atom: 0.62
Formation energy from raw total energies in meV per atom: 29.4
Volume in A^3/atom: 21.36

a b c (Å): 4.407 4.407 6.672
angles (deg): 107.06 107.06 44.03
Sites, in units of the cell vectors:
P 0.991 0.991 0.929
P 0.725 0.725 0.655
Re 0.435 0.435 0.660
Br 0.349 0.349 0.256

***

VASP calculation (PBE) on a relaxed Bi2Se2Cl7 crystal.

Summary:
Space group: No. 85
Formation energy from raw total energies in meV per atom: -728.7
Volume in A^3/atom: 29.77

a b c (Å): 11.037 11.037 10.752
angles (deg): 90.00 90.00 90.00
Site moments in Bohr magnetons follow the coordinates.
Sites, in units of the cell vectors:
Cl 0.500 0.000 0.646  0.16
Cl 0.301 0.884 0.441  0.01
Cl 0.000 0.000 0.500  0.00
Cl 0.384 0.199 0.441  0.01
Cl 0.127 0.248 0.224  0.01
Cl 0.091 0.144 0.842  0.00
Cl 0.591 0.644 0.158  0.00
Cl 0.644 0.409 0.842  0.00
Cl 0.373 0.252 0.776  0.01
Cl 0.627 0.748 0.776  0.01
Cl 0.616 0.801 0.441  0.01
Cl 0.873 0.752 0.224  0.01
Cl 0.500 0.500 0.500  0.00
Cl 0.356 0.591 0.842  0.00
Cl 0.699 0.116 0.441  0.01
Cl 0.909 0.856 0.842  0.00
Cl 0.252 0.627 0.224  0.01
Cl 0.116 0.301 0.559  0.01
Cl 0.748 0.373 0.224  0.01
Cl 0.884 0.699 0.559  0.01
Cl 0.144 0.909 0.158  0.00
Cl 0.801 0.384 0.559  0.01
Cl 0.248 0.873 0.776  0.01
Cl 0.752 0.127 0.776  0.01
Cl 0.199 0.616 0.559  0.01
Cl 0.000 0.500 0.354  0.16
Cl 0.856 0.091 0.158  0.00
Cl 0.409 0.356 0.158  0.00
Se 0.622 0.912 0.123  0.00
Se 0.878 0.588 0.877  0.00
Se 0.122 0.412 0.877  0.00
Se 0.378 0.088 0.123  0.00
Se 0.588 0.122 0.123  0.00
Se 0.088 0.622 0.877  0.00
Se 0.912 0.378 0.877  0.00
Se 0.412 0.878 0.123  0.00
Bi 0.271 0.392 0.352  0.00
Bi 0.729 0.608 0.352  0.00
Bi 0.892 0.229 0.352  0.00
Bi 0.392 0.729 0.648  0.00
Bi 0.608 0.271 0.648  0.00
Bi 0.229 0.108 0.648  0.00
Bi 0.771 0.892 0.648  0.00
Bi 0.108 0.771 0.352  0.00

***

VASP calculation (PBE) on a relaxed TiTe2AsI crystal.

Summary:
Space group: No. 123
Offset from the most stable computed form in meV per atom: 374
D(E_F) in states/eV/atom: 1.65
Formation energy from raw total energies in meV per atom: 624.2
Volume in A^3/atom: 32.82

a b c (Å): 5.494 5.494 5.437
angles (deg): 90.00 90.00 90.00
Site moments in Bohr magnetons follow the coordinates.
Sites, in units of the cell vectors:
Te 0.000 0.500 0.000  -0.14
Te 0.500 0.000 0.000  -0.14
As 0.000 0.000 0.000  0.02
Ti 0.500 0.500 0.500  1.86
I 0.000 0.000 0.500  -0.06